No. 1
Entry from Alexandria via LeMat-Bulk: Th6Tl2Sn after structural relaxation (PBE).

POSCAR file:
```
Th6Tl2Sn
1.0
-4.135 -3.230 2.850
1.418 -8.548 -4.692
6.048 -5.365 5.633
Th Tl Sn
12 4 2
Direct
0.486 0.684 0.430
0.014 0.570 0.316
0.514 0.316 0.570
0.986 0.430 0.684
0.650 0.097 0.350
0.850 0.650 0.903
0.350 0.903 0.650
0.150 0.350 0.097
0.315 0.769 0.016
0.185 0.984 0.231
0.685 0.231 0.984
0.815 0.016 0.769
0.418 0.544 0.790
0.082 0.210 0.456
0.582 0.456 0.210
0.918 0.790 0.544
0.250 0.125 0.875
0.750 0.875 0.125
```

Output
* uncorrected energy: -6.057 eV per atom
* total magnetization: 0.000 μB per formula unit
* symmetry: C2/c


No. 2
Entry from Alexandria via LeMat-Bulk: Th2Tl3Sn3 after structural relaxation (PBE).

POSCAR file:
```
Th2Tl3Sn3
1.0
-0.695 -4.101 2.498
4.344 0.472 1.984
-3.797 4.985 7.128
Th Tl Sn
2 3 3
Direct
0.000 0.000 0.744
0.000 0.000 0.256
0.500 0.500 0.753
0.500 0.500 0.247
0.500 0.000 0.000
0.500 0.000 0.500
0.000 0.500 0.000
0.000 0.500 0.500
```

Output
* uncorrected energy: -4.552 eV per atom
* total magnetization: 0.000 μB per formula unit
* symmetry: Pmmm


No. 3
Entry from Alexandria via LeMat-Bulk: Th4TlSn after structural relaxation (PBE).

POSCAR file:
```
Th4TlSn
1.0
6.269 0.000 0.000
0.000 7.722 0.000
0.000 0.000 7.722
Th Tl Sn
8 2 2
Direct
0.000 0.152 0.655
0.000 0.848 0.345
0.000 0.345 0.152
0.000 0.655 0.848
0.500 0.848 0.655
0.500 0.152 0.345
0.500 0.655 0.152
0.500 0.345 0.848
0.250 0.500 0.500
0.750 0.500 0.500
0.250 0.000 0.000
0.750 0.000 0.000
```

Output
* uncorrected energy: -6.263 eV per atom
* ΔE to the lowest computed polymorph: 0 meV/atom
* total magnetization: 0.000 μB per formula unit
* symmetry: P4/mcc


No. 4
Entry from Alexandria via LeMat-Bulk: Th6TlSn after structural relaxation (PBE).

POSCAR file:
```
Th6TlSn
1.0
4.952 0.000 0.000
0.000 4.952 0.000
0.000 0.000 9.881
Th Tl Sn
6 1 1
Direct
0.500 0.500 0.000
0.500 0.500 0.500
0.500 0.000 0.253
0.500 0.000 0.747
0.000 0.500 0.253
0.000 0.500 0.747
0.000 0.000 0.000
0.000 0.000 0.500
```

Output
* uncorrected energy: -6.546 eV per atom
* total magnetization: 0.000 μB per formula unit
* symmetry: P4/mmm


No. 5
Entry from Alexandria via LeMat-Bulk: Th4Tl3Sn after structural relaxation (PBE).

POSCAR file:
```
Th4Tl3Sn
1.0
-1.892 -3.571 0.984
1.723 0.130 3.783
-10.761 6.986 4.663
Tl Sn Th
3 1 4
Direct
0.500 0.500 0.250
0.500 0.500 0.500
0.500 0.500 0.750
0.500 0.500 0.000
0.000 0.000 0.878
0.000 0.000 0.122
0.000 0.000 0.375
0.000 0.000 0.625
```

Output
* uncorrected energy: -5.309 eV per atom
* total magnetization: 0.000 μB per formula unit
* symmetry: P4/mmm


No. 6
Entry from Alexandria via LeMat-Bulk: Th4Tl5Sn after structural relaxation (PBE).

POSCAR file:
```
Th4Tl5Sn
1.0
-5.257 -4.862 3.768
8.051 -5.838 3.700
0.341 4.229 5.932
Th Tl Sn
8 10 2
Direct
0.804 0.000 0.751
0.503 0.684 0.000
0.503 0.316 0.000
0.804 0.000 0.249
0.196 0.500 0.251
0.497 0.816 0.500
0.497 0.184 0.500
0.196 0.500 0.749
0.170 0.810 0.794
0.170 0.190 0.794
0.849 0.500 0.000
0.170 0.810 0.206
0.170 0.190 0.206
0.830 0.690 0.294
0.830 0.310 0.294
0.151 0.000 0.500
0.830 0.310 0.706
0.830 0.690 0.706
0.467 0.000 0.000
0.533 0.500 0.500
```

Output
* uncorrected energy: -4.460 eV per atom
* total magnetization: 0.000 μB per formula unit
* symmetry: Pmmn


no.,DOS at the Fermi energy (states/eV per cell)
1,23.43
2,5.66
3,11.26
4,10.08
5,8.28
6,17.47